Record 1
Computed, not measured: a relaxed NiSbRh2 crystal at the PBE-GGA level of DFT.

Cell: 3.8295 3.8295 9.3638 Å, 78.20 78.20 90.00°
Closest atoms and distances in Å follow each position.
Element x y z (fractional)
Sb 0.0000 0.0000 0.0000  4 Rh 2.66, 4 Ni 2.71
Sb 0.7500 0.2500 0.5000  4 Rh 2.66, 4 Ni 2.71
Rh 0.5970 0.1250 0.2500  4 Rh 2.56-2.86, 2 Ni 2.58, 2 Sb 2.66
Rh 0.1530 0.6250 0.2500  4 Rh 2.56-2.86, 2 Ni 2.58, 2 Sb 2.66
Rh 0.3750 0.4030 0.7500  4 Rh 2.56-2.86, 2 Ni 2.58, 2 Sb 2.66
Rh 0.8750 0.8470 0.7500  4 Rh 2.56-2.86, 2 Ni 2.58, 2 Sb 2.66
Ni 0.5000 0.5000 0.0000  4 Rh 2.58, 4 Sb 2.71
Ni 0.2500 0.7500 0.5000  4 Rh 2.58, 4 Sb 2.71

Electronic total energy: -6.030 eV per atom
Energy relative to the elements, uncorrected: 0.5 eV per formula unit



Record 2
Computed, not measured: a relaxed NiSbRh2 crystal at the PBE-GGA level of DFT.

Cell: 4.3968 4.3968 4.3968 Å, 60.00 60.00 60.00°
Closest atoms and distances in Å follow each position.
Element x y z (fractional)
Ni 0.5000 0.5000 0.5000  4 Rh 2.69, 4 Sb 2.69
Rh 0.0000 0.0000 0.0000  4 Sb 2.69, 4 Rh 2.69
Rh 0.2500 0.2500 0.2500  4 Rh 2.69, 4 Ni 2.69
Sb 0.7500 0.7500 0.7500  4 Ni 2.69, 4 Rh 2.69

Electronic total energy: -6.217 eV per atom
Energy relative to the elements, uncorrected: -0.3 eV per formula unit



Record 3
Computed, not measured: a relaxed NiSb6Rh crystal at the PBE-GGA level of DFT.

Cell: 8.0659 8.0659 8.0763 Å, 109.53 109.50 109.33°
Closest atoms and distances in Å follow each position.
Element x y z (fractional)
Ni 0.0000 0.0000 0.5000  6 Sb 2.59-2.61
Ni 0.5000 0.5000 0.5000  6 Sb 2.59-2.61
Sb 0.1535 0.6587 0.8122  2 Rh 2.64, 1 Sb 2.92
Sb 0.8465 0.3413 0.1878  2 Rh 2.64, 1 Sb 2.92
Sb 0.8396 0.6632 0.5028  2 Ni 2.61
Sb 0.1604 0.3368 0.4972  2 Ni 2.61
Sb 0.8184 0.1537 0.6579  1 Ni 2.59, 1 Rh 2.65
Sb 0.1816 0.8463 0.3421  1 Ni 2.59, 1 Rh 2.65
Sb 0.5042 0.8395 0.6579  1 Ni 2.59, 1 Rh 2.65
Sb 0.4958 0.1605 0.3421  1 Ni 2.59, 1 Rh 2.65
Sb 0.6649 0.8188 0.1611  1 Ni 2.59, 1 Rh 2.65
Sb 0.3351 0.1812 0.8389  1 Ni 2.59, 1 Rh 2.65
Sb 0.6578 0.5039 0.8389  1 Ni 2.59, 1 Rh 2.65
Sb 0.3422 0.4961 0.1611  1 Ni 2.59, 1 Rh 2.65
Rh 0.0000 0.5000 0.0000  6 Sb 2.64-2.65
Rh 0.5000 0.0000 0.0000  6 Sb 2.64-2.65

Electronic total energy: -4.995 eV per atom
Energy relative to the elements, uncorrected: -2.1 eV per formula unit



Record 4
Computed, not measured: a relaxed NiSbRh2 crystal at the PBE-GGA level of DFT.

Cell: 8.1136 8.1136 8.1136 Å, 21.70 21.70 21.70°
Closest atoms and distances in Å follow each position.
Element x y z (fractional)
Ni 0.7500 0.7500 0.7500  6 Rh 2.61
Rh 0.0025 0.0025 0.0025  3 Ni 2.61, 3 Sb 2.70
Rh 0.4975 0.4975 0.4975  3 Ni 2.61, 3 Sb 2.70
Sb 0.2500 0.2500 0.2500  6 Rh 2.70

Electronic total energy: -5.962 eV per atom
Energy relative to the elements, uncorrected: 0.8 eV per formula unit



Record 5
Computed, not measured: a relaxed NiSbRh2 crystal at the PBE-GGA level of DFT.

Cell: 3.0069 3.7379 5.4611 Å, 90.00 90.00 90.00°
Closest atoms and distances in Å follow each position.
Element x y z (fractional)
Ni 0.5000 0.5000 0.7796  6 Rh 2.60-2.86, 4 Sb 2.86
Rh 0.0000 0.0000 0.9701  2 Sb 2.60-2.86, 4 Ni 2.61, 4 Rh 2.86
Rh 0.5000 0.5000 0.2562  2 Ni 2.60-2.86, 4 Sb 2.73, 4 Rh 2.86
Sb 0.0000 0.0000 0.4940  6 Rh 2.60-2.86, 4 Ni 2.86

Electronic total energy: -6.172 eV per atom
Energy relative to the elements, uncorrected: -0.1 eV per formula unit



Record 6
Computed, not measured: a relaxed NiSbRh2 crystal at the PBE-GGA level of DFT.

Cell: 3.2668 3.2668 5.6750 Å, 90.00 90.00 90.00°
Closest atoms and distances in Å follow each position.
Element x y z (fractional)
Ni 0.5000 0.5000 0.7500  8 Rh 2.66, 2 Sb 2.84
Rh 0.0000 0.0000 0.9837  1 Rh 2.65, 4 Ni 2.66, 4 Sb 2.76
Rh 0.0000 0.0000 0.5163  1 Rh 2.65, 4 Ni 2.66, 4 Sb 2.76
Sb 0.5000 0.5000 0.2500  8 Rh 2.76, 2 Ni 2.84

Electronic total energy: -6.221 eV per atom
Energy relative to the elements, uncorrected: -0.3 eV per formula unit



Record 7
Computed, not measured: a relaxed NiSbRh2 crystal at the PBE-GGA level of DFT.

Cell: 5.2978 5.2978 2.9251 Å, 74.34 74.34 118.00°
Closest atoms and distances in Å follow each position.
Element x y z (fractional)
Ni 0.0000 0.5000 0.5000  4 Rh 2.66, 4 Sb 2.73-2.76, 2 Ni 2.93
Rh 0.0000 0.0000 0.0000  2 Sb 2.66, 2 Ni 2.66, 6 Rh 2.73-2.93
Rh 0.5000 0.5000 0.0000  2 Ni 2.66, 2 Sb 2.66, 6 Rh 2.73-2.93
Sb 0.5000 0.0000 0.5000  4 Rh 2.66, 4 Ni 2.73-2.76, 2 Sb 2.93

Electronic total energy: -6.113 eV per atom
Energy relative to the elements, uncorrected: 0.2 eV per formula unit



Record 8
Computed, not measured: a relaxed NiSbRh2 crystal at the PBE-GGA level of DFT.

Cell: 4.7181 4.7181 4.7181 Å, 130.35 130.35 72.85°
Closest atoms and distances in Å follow each position.
Element x y z (fractional)
Ni 0.7500 0.2500 0.5000  4 Sb 2.74, 8 Rh 2.74-2.80
Rh 0.0000 0.0000 0.0000  4 Ni 2.74, 4 Rh 2.74, 4 Sb 2.80
Rh 0.2500 0.7500 0.5000  4 Rh 2.74, 4 Sb 2.74, 4 Ni 2.80
Sb 0.5000 0.5000 0.0000  8 Rh 2.74-2.80, 4 Ni 2.74

Electronic total energy: -6.288 eV per atom
Energy relative to the elements, uncorrected: -0.5 eV per formula unit



Q: Which value of electronic total energy does entry 3 give?
A: -4.995 eV per atom



Q: Look up the energy relative to the elements, uncorrected of the second one.
A: -0.3 eV per formula unit



Q: Look up the energy relative to the elements, uncorrected of the third one.
A: -2.1 eV per formula unit